Run A
The following is a DFT calculation (PBE-GGA) of a relaxed CePrSc crystal.

Cell and atoms, written as POSCAR:
```
CePrSc
1.0
3.468 0.000 0.000
-1.734 3.003 0.000
0.000 0.000 8.479
Ce Pr Sc
1 1 1
direct
0.000 0.000 0.000 Ce
0.667 0.333 0.349 Pr
0.333 0.667 0.687 Sc
```

Summary:
The value obtained for the density of states at the Fermi level is 6.93 states/eV per cell. The calculation puts the density at 6.13 Mg/m³.

=====

Run B
The following is a DFT calculation (PBE-GGA) of a relaxed CePrSc crystal.

Cell and atoms, written as POSCAR:
```
CePrSc
1.0
6.176 0.000 0.000
-3.088 5.348 0.000
0.000 0.000 17.131
Ce Pr Sc
6 6 6
direct
0.000 0.500 0.350 Ce
0.000 0.500 0.983 Ce
0.500 0.000 0.317 Ce
0.500 0.000 0.683 Ce
0.500 0.500 0.017 Ce
0.500 0.500 0.650 Ce
0.311 0.655 0.167 Pr
0.345 0.655 0.833 Pr
0.345 0.689 0.500 Pr
0.655 0.311 0.500 Pr
0.655 0.345 0.833 Pr
0.689 0.345 0.167 Pr
0.000 0.000 0.167 Sc
0.000 0.000 0.500 Sc
0.000 0.000 0.833 Sc
0.000 0.500 0.667 Sc
0.500 0.000 0.000 Sc
0.500 0.500 0.333 Sc
```

Summary:
The value obtained for the density of states at the Fermi level is 46.49 states/eV per cell. The calculation puts the density at 5.74 Mg/m³.

=====

run A is preferred energetically. Next in line: 308 meV per atom higher.

=====

Run A
The following is a DFT calculation (PBE-GGA) of a relaxed Ce3PrSe6 crystal.

Cell and atoms, written as POSCAR:
```
Ce3PrSe6
1.0
11.769 0.000 0.000
0.000 4.246 0.000
-3.747 0.000 11.635
Ce Pr Se
6 2 12
direct
0.070 0.250 0.170 Ce
0.185 0.750 0.504 Ce
0.341 0.250 0.919 Ce
0.659 0.750 0.081 Ce
0.815 0.250 0.496 Ce
0.930 0.750 0.830 Ce
0.454 0.250 0.308 Pr
0.546 0.750 0.692 Pr
0.020 0.250 0.386 Se
0.100 0.250 0.938 Se
0.246 0.750 0.277 Se
0.308 0.750 0.752 Se
0.385 0.250 0.537 Se
0.416 0.750 0.098 Se
0.584 0.250 0.902 Se
0.615 0.750 0.463 Se
0.692 0.250 0.248 Se
0.754 0.250 0.723 Se
0.900 0.750 0.062 Se
0.980 0.750 0.614 Se
```

Summary:
The value obtained for the density of states at the Fermi level is 42.23 states/eV per cell. The calculation puts the density at 5.91 Mg/m³.

=====

Run B
The following is a DFT calculation (PBE-GGA) of a relaxed Ce3PrSe6 crystal.

Cell and atoms, written as POSCAR:
```
Ce3PrSe6
1.0
6.689 -3.921 0.000
6.689 3.921 0.000
-4.124 0.000 6.178
Ce Pr Se
3 1 6
direct
0.000 0.000 0.000 Ce
0.250 0.250 0.805 Ce
0.750 0.750 0.195 Ce
0.500 0.500 0.500 Pr
0.158 0.660 0.157 Se
0.248 0.248 0.409 Se
0.340 0.842 0.843 Se
0.660 0.158 0.157 Se
0.752 0.752 0.591 Se
0.842 0.340 0.843 Se
```

Summary:
The value obtained for the density of states at the Fermi level is 21.01 states/eV per cell. The calculation puts the density at 5.30 Mg/m³.

=====

run A is preferred energetically. Next in line: 154 meV per atom higher.

=====

Run A
The following is a DFT calculation (PBE-GGA) of a relaxed Ce2Pr3Se8 crystal.

Cell and atoms, written as POSCAR:
```
Ce2Pr3Se8
1.0
5.129 -7.197 0.000
5.129 7.197 0.000
0.000 0.000 5.009
Ce Pr Se
2 3 8
direct
0.236 0.764 0.000 Ce
0.764 0.236 0.000 Ce
0.218 0.218 0.500 Pr
0.500 0.500 0.000 Pr
0.782 0.782 0.500 Pr
0.132 0.384 0.000 Se
0.132 0.868 0.500 Se
0.379 0.621 0.500 Se
0.384 0.132 0.000 Se
0.616 0.868 0.000 Se
0.621 0.379 0.500 Se
0.868 0.132 0.500 Se
0.868 0.616 0.000 Se
```

Summary:
The value obtained for the density of states at the Fermi level is 9.59 states/eV per cell. The calculation puts the density at 5.99 Mg/m³.

=====

Run B
The following is a DFT calculation (PBE-GGA) of a relaxed Ce2Pr3Se8 crystal.

Cell and atoms, written as POSCAR:
```
Ce2Pr3Se8
1.0
7.517 -4.240 0.000
7.517 4.240 0.000
-2.444 0.000 6.739
Ce Pr Se
2 3 8
direct
0.239 0.239 0.164 Ce
0.761 0.761 0.836 Ce
0.238 0.762 0.500 Pr
0.500 0.500 0.000 Pr
0.762 0.238 0.500 Pr
0.110 0.110 0.374 Se
0.140 0.602 0.083 Se
0.379 0.379 0.568 Se
0.398 0.860 0.917 Se
0.602 0.140 0.083 Se
0.621 0.621 0.432 Se
0.860 0.398 0.917 Se
0.890 0.890 0.626 Se
```

Summary:
The value obtained for the density of states at the Fermi level is 10.30 states/eV per cell. The calculation puts the density at 5.16 Mg/m³.

=====

run B is preferred energetically. Next in line: 44 meV per atom higher.

=====

Run A
The following is a DFT calculation (PBE-GGA) of a relaxed CePr2Si2 crystal.

Cell and atoms, written as POSCAR:
```
CePr2Si2
1.0
6.060 -2.202 0.000
6.060 2.202 0.000
-4.916 0.000 9.743
Ce Pr Si
2 4 4
direct
0.214 0.214 0.365 Ce
0.786 0.786 0.635 Ce
0.314 0.314 0.901 Pr
0.492 0.492 0.316 Pr
0.508 0.508 0.684 Pr
0.686 0.686 0.099 Pr
0.024 0.024 0.903 Si
0.111 0.111 0.566 Si
0.889 0.889 0.434 Si
0.976 0.976 0.097 Si
```

Summary:
The value obtained for the density of states at the Fermi level is 13.16 states/eV per cell. The calculation puts the density at 6.10 Mg/m³.

=====

Run B
The following is a DFT calculation (PBE-GGA) of a relaxed CePr2Si2 crystal.

Cell and atoms, written as POSCAR:
```
CePr2Si2
1.0
3.032 -8.714 0.000
3.032 8.714 0.000
0.000 0.000 5.135
Ce Pr Si
2 4 4
direct
0.000 0.000 0.000 Ce
0.000 0.000 0.500 Ce
0.219 0.781 0.750 Pr
0.405 0.595 0.250 Pr
0.595 0.405 0.750 Pr
0.781 0.219 0.250 Pr
0.064 0.345 0.750 Si
0.345 0.064 0.250 Si
0.655 0.936 0.750 Si
0.936 0.655 0.250 Si
```

Summary:
The value obtained for the density of states at the Fermi level is 10.08 states/eV per cell. The calculation puts the density at 5.85 Mg/m³.

=====

run A is preferred energetically. Next in line: 158 meV per atom higher.

=====

Run A
The following is a DFT calculation (PBE-GGA) of a relaxed CePr2Si crystal.

Cell and atoms, written as POSCAR:
```
CePr2Si
1.0
1.862 1.075 10.886
-1.862 1.075 10.886
0.000 -2.150 10.886
Ce Pr Si
1 2 1
direct
0.000 0.000 0.000 Ce
0.106 0.106 0.106 Pr
0.894 0.894 0.894 Pr
0.500 0.500 0.500 Si
```

Summary:
The value obtained for the density of states at the Fermi level is 8.46 states/eV per cell. The calculation puts the density at 5.72 Mg/m³.

=====

Run B
The following is a DFT calculation (PBE-GGA) of a relaxed CePr2Si crystal.

Cell and atoms, written as POSCAR:
```
CePr2Si
1.0
4.829 0.000 0.000
0.000 4.829 0.000
0.000 0.000 4.583
Ce Pr Si
1 2 1
direct
0.000 0.000 0.000 Ce
0.000 0.500 0.500 Pr
0.500 0.000 0.500 Pr
0.500 0.500 0.000 Si
```

Summary:
The value obtained for the density of states at the Fermi level is 6.39 states/eV per cell. The calculation puts the density at 6.99 Mg/m³.

=====

run B is preferred energetically. Next in line: 336 meV per atom higher.

=====

Run A
The following is a DFT calculation (PBE-GGA) of a relaxed CePr12Sm7 crystal.

Cell and atoms, written as POSCAR:
```
CePr12Sm7
1.0
9.502 5.486 2.314
-9.502 5.486 2.314
0.000 -10.972 2.314
Ce Pr Sm
1 12 7
direct
0.000 0.000 0.000 Ce
0.088 0.514 0.300 Pr
0.201 0.272 0.750 Pr
0.250 0.799 0.728 Pr
0.272 0.750 0.201 Pr
0.300 0.088 0.514 Pr
0.486 0.700 0.912 Pr
0.514 0.300 0.088 Pr
0.700 0.912 0.486 Pr
0.728 0.250 0.799 Pr
0.750 0.201 0.272 Pr
0.799 0.728 0.250 Pr
0.912 0.486 0.700 Pr
0.068 0.203 0.365 Sm
0.203 0.365 0.068 Sm
0.365 0.068 0.203 Sm
0.500 0.500 0.500 Sm
0.635 0.932 0.797 Sm
0.797 0.635 0.932 Sm
0.932 0.797 0.635 Sm
```

Summary:
The value obtained for the density of states at the Fermi level is 29.70 states/eV per cell. The calculation puts the density at 6.61 Mg/m³.

=====

Run B
The following is a DFT calculation (PBE-GGA) of a relaxed CePr12Sm7 crystal.

Cell and atoms, written as POSCAR:
```
CePr12Sm7
1.0
8.113 4.684 3.106
-8.113 4.684 3.106
0.000 -9.368 3.106
Ce Pr Sm
1 12 7
direct
0.000 0.000 0.000 Ce
0.079 0.583 0.374 Pr
0.095 0.155 0.731 Pr
0.155 0.731 0.095 Pr
0.269 0.905 0.845 Pr
0.374 0.079 0.583 Pr
0.417 0.626 0.921 Pr
0.583 0.374 0.079 Pr
0.626 0.921 0.417 Pr
0.731 0.095 0.155 Pr
0.845 0.269 0.905 Pr
0.905 0.845 0.269 Pr
0.921 0.417 0.626 Pr
0.158 0.286 0.457 Sm
0.286 0.457 0.158 Sm
0.457 0.158 0.286 Sm
0.500 0.500 0.500 Sm
0.543 0.842 0.714 Sm
0.714 0.543 0.842 Sm
0.842 0.714 0.543 Sm
```

Summary:
The value obtained for the density of states at the Fermi level is 35.48 states/eV per cell. The calculation puts the density at 6.76 Mg/m³.

=====

run B is preferred energetically. Next in line: 151 meV per atom higher.

=====

Run A
The following is a DFT calculation (PBE-GGA) of a relaxed CePr2Sm8 crystal.

Cell and atoms, written as POSCAR:
```
CePr2Sm8
1.0
9.272 -2.570 0.000
9.272 2.570 0.000
-2.136 0.000 7.854
Ce Pr Sm
1 2 8
direct
0.000 0.000 0.000 Ce
0.272 0.272 0.362 Pr
0.728 0.728 0.638 Pr
0.090 0.090 0.452 Sm
0.180 0.180 0.908 Sm
0.366 0.366 0.823 Sm
0.456 0.456 0.269 Sm
0.544 0.544 0.731 Sm
0.634 0.634 0.177 Sm
0.820 0.820 0.092 Sm
0.910 0.910 0.548 Sm
```

Summary:
The value obtained for the density of states at the Fermi level is 19.88 states/eV per cell. The calculation puts the density at 7.21 Mg/m³.

=====

Run B
The following is a DFT calculation (PBE-GGA) of a relaxed CePr2Sm8 crystal.

Cell and atoms, written as POSCAR:
```
CePr2Sm8
1.0
8.899 -3.396 0.000
8.899 3.396 0.000
-1.909 0.000 6.205
Ce Pr Sm
1 2 8
direct
0.000 0.000 0.000 Ce
0.276 0.276 0.873 Pr
0.724 0.724 0.127 Pr
0.142 0.653 0.313 Sm
0.204 0.204 0.314 Sm
0.347 0.858 0.687 Sm
0.440 0.440 0.767 Sm
0.560 0.560 0.233 Sm
0.653 0.142 0.313 Sm
0.796 0.796 0.686 Sm
0.858 0.347 0.687 Sm
```

Summary:
The value obtained for the density of states at the Fermi level is 19.48 states/eV per cell. The calculation puts the density at 7.19 Mg/m³.

=====

run A is preferred energetically. Next in line: 151 meV per atom higher.

=====

Run A
The following is a DFT calculation (PBE-GGA) of a relaxed CePr2Sm crystal.

Cell and atoms, written as POSCAR:
```
CePr2Sm
1.0
1.759 1.016 12.695
-1.759 1.016 12.695
0.000 -2.031 12.695
Ce Pr Sm
1 2 1
direct
0.000 0.000 0.000 Ce
0.087 0.087 0.087 Pr
0.913 0.913 0.913 Pr
0.500 0.500 0.500 Sm
```

Summary:
The value obtained for the density of states at the Fermi level is 8.61 states/eV per cell. The calculation puts the density at 6.98 Mg/m³.

=====

Run B
The following is a DFT calculation (PBE-GGA) of a relaxed CePr2Sm crystal.

Cell and atoms, written as POSCAR:
```
CePr2Sm
1.0
1.820 1.051 11.812
-1.820 1.051 11.812
0.000 -2.102 11.812
Ce Pr Sm
1 2 1
direct
0.000 0.000 0.000 Ce
0.414 0.414 0.414 Pr
0.585 0.585 0.585 Pr
0.833 0.833 0.833 Sm
```

Summary:
The value obtained for the density of states at the Fermi level is 8.46 states/eV per cell. The calculation puts the density at 7.01 Mg/m³.

=====

Run C
The following is a DFT calculation (PBE-GGA) of a relaxed CePr2Sm crystal.

Cell and atoms, written as POSCAR:
```
CePr2Sm
1.0
5.149 0.000 0.000
0.000 5.149 0.000
0.000 0.000 5.144
Ce Pr Sm
1 2 1
direct
0.000 0.000 0.000 Ce
0.000 0.500 0.500 Pr
0.500 0.000 0.500 Pr
0.500 0.500 0.000 Sm
```

Summary:
The value obtained for the density of states at the Fermi level is 9.20 states/eV per cell. The calculation puts the density at 6.97 Mg/m³.

=====

Run D
The following is a DFT calculation (PBE-GGA) of a relaxed CePr2Sm crystal.

Cell and atoms, written as POSCAR:
```
CePr2Sm
1.0
0.000 4.112 4.112
4.112 0.000 4.112
4.112 4.112 0.000
Ce Pr Sm
1 2 1
direct
0.000 0.000 0.000 Ce
0.250 0.250 0.250 Pr
0.750 0.750 0.750 Pr
0.500 0.500 0.500 Sm
```

Summary:
The value obtained for the density of states at the Fermi level is 11.16 states/eV per cell. The calculation puts the density at 6.83 Mg/m³.

=====

run B is preferred energetically. Next in line: 16 meV per atom higher.